A plane-wave DFT calculation with GGA-PBE was carried out for an optimized crystal structure of Ba2InSn4Pt3.

Values from the calculation:
ΔH_f (0 K) (eV per atom): -0.6966
SG: P-4m2 (115)
Calculated volume (Å³/f.u.): 259
Mass density (Mg/m³): 9.3
Total magnetic moment (μB per cell): 0.000

Geometry as POSCAR:
```
Ba2InSn4Pt3
1.0
4.771 0.000 0.000
0.000 4.771 0.000
0.000 0.000 11.357
Ba In Sn Pt
2 1 4 3
Direct
0.000 0.500 0.248
0.500 0.000 0.752
0.000 0.000 0.500
0.000 0.000 0.000
0.000 0.500 0.643
0.500 0.000 0.357
0.500 0.500 0.000
0.000 0.500 0.881
0.500 0.000 0.119
0.500 0.500 0.500
```